[1]
# Tb3Pm6PrHo2 PBE optimized geometry
# E_form (eV per atom): 0.01
# Crystal system: monoclinic
# Density (g/cm³): 7.6
data_Tb3Pm6PrHo2
_space_group_name_H-M_alt 'C 1 2/m 1'
_space_group_IT_number 12
_space_group_name_Hall '-C 2y'
_cell_length_a 6.263
_cell_length_b 10.844
_cell_length_c 11.944
_cell_angle_alpha 90.00
_cell_angle_beta 100.05
_cell_angle_gamma 90.00
loop_
_atom_site_label
_atom_site_type_symbol
_atom_site_fract_x
_atom_site_fract_y
_atom_site_fract_z
Tb1 Tb 0.000 0.000 0.000
Tb2 Tb 0.000 0.333 0.000
Pm1 Pm 0.249 0.167 0.249
Pm2 Pm 0.250 0.000 0.751
Pr1 Pr 0.000 0.500 0.500
Ho1 Ho 0.000 0.167 0.500

[2]
# TbPm3PrHo PBE optimized geometry
# E_form (eV per atom): 0.02
# Crystal system: monoclinic
# Density (g/cm³): 7.4
data_TbPm3PrHo
_space_group_name_H-M_alt 'P 1 21/m 1'
_space_group_IT_number 11
_space_group_name_Hall '-P 2yb'
_cell_length_a 8.093
_cell_length_b 5.139
_cell_length_c 10.253
_cell_angle_alpha 90.00
_cell_angle_beta 108.53
_cell_angle_gamma 90.00
loop_
_atom_site_label
_atom_site_type_symbol
_atom_site_fract_x
_atom_site_fract_y
_atom_site_fract_z
Tb1 Tb 0.001 0.250 0.125
Pm1 Pm 0.330 0.250 0.457
Pm2 Pm 0.330 0.250 0.958
Pm3 Pm 0.330 0.750 0.208
Pr1 Pr 0.331 0.750 0.708
Ho1 Ho 0.000 0.250 0.625

[3]
# Tb2Pm6Pr3Ho PBE optimized geometry
# E_form (eV per atom): 0.02
# Crystal system: monoclinic
# Density (g/cm³): 7.2
data_Tb2Pm6Pr3Ho
_space_group_name_H-M_alt 'C 1 2/m 1'
_space_group_IT_number 12
_space_group_name_Hall '-C 2y'
_cell_length_a 6.313
_cell_length_b 10.936
_cell_length_c 12.065
_cell_angle_alpha 90.00
_cell_angle_beta 100.07
_cell_angle_gamma 90.00
loop_
_atom_site_label
_atom_site_type_symbol
_atom_site_fract_x
_atom_site_fract_y
_atom_site_fract_z
Tb1 Tb 0.000 0.167 0.000
Pm1 Pm 0.249 0.000 0.245
Pm2 Pm 0.249 0.333 0.245
Pr1 Pr 0.000 0.000 0.500
Pr2 Pr 0.000 0.333 0.500
Ho1 Ho 0.000 0.500 0.000

[4]
# TbPm2PrHo2 PBE optimized geometry
# E_form (eV per atom): 0.15
# Crystal system: orthorhombic
# Density (g/cm³): 7.5
data_TbPm2PrHo2
_space_group_name_H-M_alt 'P n n m'
_space_group_IT_number 58
_space_group_name_Hall '-P 2 2n'
_cell_length_a 6.997
_cell_length_b 16.421
_cell_length_c 3.526
_cell_angle_alpha 90.00
_cell_angle_beta 90.00
_cell_angle_gamma 90.00
loop_
_atom_site_label
_atom_site_type_symbol
_atom_site_fract_x
_atom_site_fract_y
_atom_site_fract_z
Tb1 Tb 0.000 0.000 0.000
Pm1 Pm 0.248 0.160 0.500
Pr1 Pr 0.000 0.500 0.500
Ho1 Ho 0.249 0.346 0.000

[5]
# Tb3PmPr6Ho2 PBE optimized geometry
# E_form (eV per atom): 0.01
# Crystal system: monoclinic
# Density (g/cm³): 7.3
data_Tb3PmPr6Ho2
_space_group_name_H-M_alt 'C 1 2/m 1'
_space_group_IT_number 12
_space_group_name_Hall '-C 2y'
_cell_length_a 6.325
_cell_length_b 10.953
_cell_length_c 11.951
_cell_angle_alpha 90.00
_cell_angle_beta 100.12
_cell_angle_gamma 90.00
loop_
_atom_site_label
_atom_site_type_symbol
_atom_site_fract_x
_atom_site_fract_y
_atom_site_fract_z
Tb1 Tb 0.000 0.000 0.000
Tb2 Tb 0.000 0.333 0.000
Pm1 Pm 0.000 0.500 0.500
Pr1 Pr 0.249 0.167 0.250
Pr2 Pr 0.250 0.000 0.750
Ho1 Ho 0.000 0.167 0.500

[6]
# Tb4Pm2PrHo PBE optimized geometry
# E_form (eV per atom): 0.01
# Crystal system: monoclinic
# Density (g/cm³): 7.8
data_Tb4Pm2PrHo
_space_group_name_H-M_alt 'P 1 2/m 1'
_space_group_IT_number 10
_space_group_name_Hall '-P 2y'
_cell_length_a 7.213
_cell_length_b 7.199
_cell_length_c 10.132
_cell_angle_alpha 90.00
_cell_angle_beta 90.05
_cell_angle_gamma 90.00
loop_
_atom_site_label
_atom_site_type_symbol
_atom_site_fract_x
_atom_site_fract_y
_atom_site_fract_z
Tb1 Tb 0.249 0.248 0.248
Tb2 Tb 0.249 0.248 0.752
Pm1 Pm 0.000 0.000 0.500
Pm2 Pm 0.000 0.500 0.000
Pm3 Pm 0.000 0.500 0.500
Pm4 Pm 0.500 0.500 0.500
Pr1 Pr 0.500 0.000 0.500
Pr2 Pr 0.500 0.500 0.000
Ho1 Ho 0.000 0.000 0.000
Ho2 Ho 0.500 0.000 0.000

[7]
# TbPmPr2Ho5 PBE optimized geometry
# E_form (eV per atom): 0.26
# Crystal system: tetragonal
# Density (g/cm³): 7.9
data_TbPmPr2Ho5
_space_group_name_H-M_alt 'I 4/m c m'
_space_group_IT_number 140
_space_group_name_Hall '-I 4 2c'
_cell_length_a 8.698
_cell_length_b 8.698
_cell_length_c 15.640
_cell_angle_alpha 90.00
_cell_angle_beta 90.00
_cell_angle_gamma 90.00
loop_
_atom_site_label
_atom_site_type_symbol
_atom_site_fract_x
_atom_site_fract_y
_atom_site_fract_z
Tb1 Tb 0.000 0.500 0.250
Pm1 Pm 0.000 0.000 0.250
Pr1 Pr 0.118 0.382 0.000
Ho1 Ho 0.000 0.000 0.000
Ho2 Ho 0.211 0.289 0.361

[8]
# Pm2Pr3HoTe6 PBE optimized geometry
# Crystal system: monoclinic
# Density (g/cm³): 7.2
# Energy relative to the elements, uncorrected (eV/atom): -1.399
data_Pm2Pr3HoTe6
_space_group_name_H-M_alt 'C 1 2/m 1'
_space_group_IT_number 12
_space_group_name_Hall '-C 2y'
_cell_length_a 19.547
_cell_length_b 4.443
_cell_length_c 9.027
_cell_angle_alpha 90.00
_cell_angle_beta 103.55
_cell_angle_gamma 90.00
loop_
_atom_site_label
_atom_site_type_symbol
_atom_site_fract_x
_atom_site_fract_y
_atom_site_fract_z
Pm1 Pm 0.169 0.000 0.336
Pr1 Pr 0.000 0.500 0.500
Pr2 Pr 0.171 0.000 0.834
Ho1 Ho 0.000 0.500 0.000
Te1 Te 0.000 0.000 0.239
Te2 Te 0.161 0.500 0.084
Te3 Te 0.167 0.500 0.580

[9]
# PmPr3Ho2Te6 PBE optimized geometry
# Crystal system: monoclinic
# Density (g/cm³): 7.4
# Energy relative to the elements, uncorrected (eV/atom): -1.374
data_PmPr3Ho2Te6
_space_group_name_H-M_alt 'C 1 2/m 1'
_space_group_IT_number 12
_space_group_name_Hall '-C 2y'
_cell_length_a 19.516
_cell_length_b 4.407
_cell_length_c 9.015
_cell_angle_alpha 90.00
_cell_angle_beta 104.37
_cell_angle_gamma 90.00
loop_
_atom_site_label
_atom_site_type_symbol
_atom_site_fract_x
_atom_site_fract_y
_atom_site_fract_z
Pm1 Pm 0.000 0.000 0.000
Pr1 Pr 0.000 0.000 0.500
Pr2 Pr 0.162 0.500 0.832
Ho1 Ho 0.165 0.500 0.330
Te1 Te 0.005 0.500 0.249
Te2 Te 0.168 0.000 0.094
Te3 Te 0.171 0.000 0.574

[10]
# Pm3Pr4HoTe8 PBE optimized geometry
# Crystal system: trigonal
# Density (g/cm³): 7.1
# Energy relative to the elements, uncorrected (eV/atom): -1.399
data_Pm3Pr4HoTe8
_space_group_name_H-M_alt 'R -3 m'
_space_group_IT_number 166
_space_group_name_Hall '-R 3 2"'
_cell_length_a 8.9417
_cell_length_b 8.9417
_cell_length_c 22.1015
_cell_angle_alpha 90.00
_cell_angle_beta 90.00
_cell_angle_gamma 120.00
loop_
_atom_site_label
_atom_site_type_symbol
_atom_site_fract_x
_atom_site_fract_y
_atom_site_fract_z
Pm1 Pm 0.0000 0.5000 0.0000
Pr1 Pr 0.0000 0.0000 0.5000
Pr2 Pr 0.0000 0.5000 0.5000
Ho1 Ho 0.0000 0.0000 0.0000
Te1 Te 0.0000 0.0000 0.2518
Te2 Te 0.0055 0.5028 0.7469

[11]
# Pm3Pr2HoTe6 PBE optimized geometry
# Crystal system: monoclinic
# Density (g/cm³): 7.2
# Energy relative to the elements, uncorrected (eV/atom): -1.392
data_Pm3Pr2HoTe6
_space_group_name_H-M_alt 'C 1 2/m 1'
_space_group_IT_number 12
_space_group_name_Hall '-C 2y'
_cell_length_a 19.458
_cell_length_b 4.438
_cell_length_c 8.987
_cell_angle_alpha 90.00
_cell_angle_beta 102.76
_cell_angle_gamma 90.00
loop_
_atom_site_label
_atom_site_type_symbol
_atom_site_fract_x
_atom_site_fract_y
_atom_site_fract_z
Pm1 Pm 0.000 0.000 0.000
Pm2 Pm 0.173 0.500 0.335
Pr1 Pr 0.170 0.500 0.837
Ho1 Ho 0.000 0.000 0.500
Te1 Te 0.003 0.500 0.259
Te2 Te 0.161 0.000 0.577
Te3 Te 0.164 0.000 0.086

[12]
# PmPr2HoTe5 PBE optimized geometry
# Crystal system: tetragonal
# Density (g/cm³): 5.7
# Energy relative to the elements, uncorrected (eV/atom): -0.862
data_PmPr2HoTe5
_space_group_name_H-M_alt 'P 4/m m m'
_space_group_IT_number 123
_space_group_name_Hall '-P 4 2'
_cell_length_a 5.520
_cell_length_b 5.520
_cell_length_c 11.751
_cell_angle_alpha 90.00
_cell_angle_beta 90.00
_cell_angle_gamma 90.00
loop_
_atom_site_label
_atom_site_type_symbol
_atom_site_fract_x
_atom_site_fract_y
_atom_site_fract_z
Pm1 Pm 0.000 0.000 0.000
Pr1 Pr 0.500 0.500 0.337
Ho1 Ho 0.000 0.000 0.500
Te1 Te 0.000 0.000 0.249
Te2 Te 0.000 0.500 0.500
Te3 Te 0.500 0.500 0.000